Entry from the Alexandria database: an optimized crystal structure of Na2CoCuF6 (GGA+U).

```
20
Lattice="5.4849 0.0000 0.0000 0.0000 5.7945 0.0000 -5.3930 0.0000 7.6572" Properties=species:S:1:pos:R:3 pbc="T T T"
Na -0.0746 0.3892 1.8817
Na -2.7711 2.5081 5.7103
Na 2.8630 3.2864 1.9469
Na 0.1665 5.4053 5.7755
Co -2.6965 0.0000 3.8286
Co 0.0000 2.8972 0.0000
Cu 2.7425 0.0000 0.0000
Cu 0.0460 2.8972 3.8286
F -4.2935 1.1081 7.2905
F -1.5970 1.7891 3.4618
F -3.7945 3.9387 7.1837
F -1.0980 4.7530 3.3551
F -2.0672 0.2113 5.7945
F 0.6293 2.6859 1.9659
F -0.5374 3.1086 5.6913
F 2.1591 5.5832 1.8627
F 1.1899 1.0415 4.3021
F 3.8864 1.8557 0.4735
F 1.6889 4.0053 4.1954
F 4.3854 4.6864 0.3668
```

Computed properties:
As for the crystal system: monoclinic. As for the total moment: 4.0 μB per formula unit. The calculation puts the total energy at -90.092 eV for the cell shown. Its density of states at the Fermi level is 6.0 states/eV per cell.